1.
DFT (PBE) results for crystalline Pr5Sm4Sc at its relaxed geometry.

Lattice parameters (Å, degrees): 17.5101 3.6026 11.5211 90.00 109.48 90.00
Last column: nearest neighbours and their distance in Å.
Space group C2/m (No. 12)
Symmetry-distinct sites (fractional):
Pr1 0.0000 0.0000 0.0000 x2  6 Sm 3.46-3.73, 6 Pr 3.60-3.63
Pr2 0.1905 0.5000 0.0833 x4  4 Sm 3.40-3.66, 6 Pr 3.60-3.73
Pr3 0.2059 0.5000 0.6100 x4  3 Sm 3.51-3.65, 6 Pr 3.60-3.84, 2 Sc 3.85
Sm1 0.0820 0.5000 0.2992 x4  4 Pr 3.51-3.73, 4 Sm 3.56-3.60, 2 Sc 3.59
Sm2 0.1040 0.0000 0.7922 x4  1 Sc 3.25, 2 Pr 3.40-3.46, 4 Sm 3.56-3.60
Sc1 0.0000 0.0000 0.5000 x2  6 Sm 3.25-3.59, 2 Sc 3.60

Values from the calculation:
**Volume**: 34.26 Å³ per atom
**Energy above the lowest structure with this stoichiometry**: 0.000 eV/atom
**Energy relative to the elements**: 59 kJ/mol of formula units



2.
DFT (PBE) results for crystalline Pr2Sm6Sc at its relaxed geometry.

Lattice parameters (Å, degrees): 16.5962 11.7312 6.1750 90.00 96.89 90.00
Last column: nearest neighbours and their distance in Å.
Space group C2/c (No. 15)
Symmetry-distinct sites (fractional):
Pr1 0.1720 0.1053 0.0629 x8  10 Sm 3.49-3.90
Sm1 0.0494 0.1416 0.5111 x8  4 Sm 3.35-3.70, 1 Sc 3.44, 3 Pr 3.53-3.67
Sm2 0.1068 0.3660 0.8275 x8  2 Sc 3.32-3.34, 5 Sm 3.35-3.56, 2 Pr 3.50-3.67
Sm3 0.2044 0.3643 0.3627 x8  1 Sc 3.40, 4 Sm 3.43-3.55, 3 Pr 3.49-3.57
Sc1 0.0000 0.3952 0.2500 x4  8 Sm 3.32-3.44

Values from the calculation:
**Volume**: 33.15 Å³ per atom
**Energy above the lowest structure with this stoichiometry**: 0.000 eV/atom
**Energy relative to the elements**: 81 kJ/mol of formula units



3.
DFT (PBE) results for crystalline PrSm3Sc2 at its relaxed geometry.

Lattice parameters (Å, degrees): 14.4620 9.8663 5.5093 90.00 90.00 90.00
Last column: nearest neighbours and their distance in Å.
Space group Cmcm (No. 63)
Symmetry-distinct sites (fractional):
Pr1 0.0000 0.2335 0.2500 x4  3 Sm 3.22-3.59, 6 Sc 3.45-3.54
Sm1 0.0000 0.4031 0.7500 x4  3 Pr 3.22-3.59, 4 Sm 3.35-3.46, 2 Sc 3.45
Sm2 0.2381 0.3701 0.7500 x8  2 Sc 3.13-3.37, 1 Sm 3.46
Sc1 0.1055 0.0898 0.7500 x8  3 Sc 3.05-3.28, 2 Sm 3.13-3.37

Values from the calculation:
**Volume**: 32.75 Å³ per atom
**Energy above the lowest structure with this stoichiometry**: 0.100 eV/atom
**Energy relative to the elements**: 158 kJ/mol of formula units



4.
DFT (PBE) results for crystalline PrSm6Sc at its relaxed geometry.

Lattice parameters (Å, degrees): 5.0901 5.0901 10.1345 90.00 90.00 90.00
Last column: nearest neighbours and their distance in Å.
Space group P4/mmm (No. 123)
Symmetry-distinct sites (fractional):
Pr1 0.0000 0.0000 0.0000 x1  12 Sm 3.60-3.65
Sm1 0.0000 0.5000 0.2577 x4  2 Sc 3.54, 8 Sm 3.54-3.65, 2 Pr 3.65
Sm2 0.5000 0.5000 0.0000 x1  4 Pr 3.60, 8 Sm 3.65
Sm3 0.5000 0.5000 0.5000 x1  8 Sm 3.54, 4 Sc 3.60
Sc1 0.0000 0.0000 0.5000 x1  12 Sm 3.54-3.60

Values from the calculation:
**Volume**: 32.82 Å³ per atom
**Energy above the lowest structure with this stoichiometry**: 0.000 eV/atom
**Energy relative to the elements**: 27 kJ/mol of formula units



5.
DFT (PBE) results for crystalline Pr4Sm5Sc2 at its relaxed geometry.

Lattice parameters (Å, degrees): 3.4914 9.6239 22.4190 90.00 90.00 90.00
Last column: nearest neighbours and their distance in Å.
Space group Immm (No. 71)
Symmetry-distinct sites (fractional):
Pr1 0.0000 0.0000 0.0979 x4  1 Sc 2.97
Pr2 0.0000 0.2925 0.5000 x4  4 Sm 3.31-3.64, 6 Pr 3.44-3.49
Sm1 0.0000 0.2129 0.3411 x8  1 Sc 3.22, 2 Sm 3.49, 2 Pr 3.54
Sm2 0.0000 0.5000 0.0000 x2  4 Pr 3.31, 2 Sm 3.49
Sc1 0.0000 0.0000 0.2306 x4  1 Pr 2.97, 2 Sm 3.22

Values from the calculation:
**Volume**: 34.24 Å³ per atom
**Energy above the lowest structure with this stoichiometry**: 0.167 eV/atom
**Energy relative to the elements**: 298 kJ/mol of formula units



6.
DFT (PBE) results for crystalline PrSmSc at its relaxed geometry.

Lattice parameters (Å, degrees): 3.5509 3.5509 8.5914 90.00 90.00 120.00
Last column: nearest neighbours and their distance in Å.
Space group P3m1 (No. 156)
Symmetry-distinct sites (fractional):
Pr1 0.0000 0.0000 0.0000 x1  3 Sc 3.45, 6 Pr 3.55, 3 Sm 3.71
Sm1 0.3333 0.6667 0.6394 x1  3 Sc 3.41, 6 Sm 3.55, 3 Pr 3.71
Sc1 0.6667 0.3333 0.3228 x1  3 Sm 3.41, 3 Pr 3.45, 6 Sc 3.55

Values from the calculation:
**Volume**: 31.27 Å³ per atom
**Energy above the lowest structure with this stoichiometry**: 0.003 eV/atom
**Energy relative to the elements**: 18 kJ/mol of formula units



7.
DFT (PBE) results for crystalline Pr3Sm3Sc2 at its relaxed geometry.

Lattice parameters (Å, degrees): 5.0445 5.0698 10.0167 90.00 90.00 90.00
Last column: nearest neighbours and their distance in Å.
Space group Pmmm (No. 47)
Symmetry-distinct sites (fractional):
Pr1 0.0000 0.0000 0.0000 x1  4 Sc 3.56, 4 Sm 3.57, 4 Pr 3.58
Pr2 0.0000 0.0000 0.5000 x1  4 Sc 3.54, 8 Sm 3.55-3.58
Pr3 0.5000 0.5000 0.0000 x1  4 Sm 3.57, 4 Sc 3.57, 4 Pr 3.58
Sm1 0.0000 0.5000 0.2516 x2  2 Sm 3.54, 6 Pr 3.55-3.57, 4 Sc 3.58
Sm2 0.5000 0.5000 0.5000 x1  4 Sm 3.54, 4 Sc 3.55, 4 Pr 3.58
Sc1 0.5000 0.0000 0.2515 x2  6 Pr 3.54-3.57, 6 Sm 3.55-3.58

Values from the calculation:
**Volume**: 32.02 Å³ per atom
**Energy above the lowest structure with this stoichiometry**: 0.000 eV/atom
**Energy relative to the elements**: 31 kJ/mol of formula units



8.
DFT (PBE) results for crystalline Pr2Sm7Sc2 at its relaxed geometry.

Lattice parameters (Å, degrees): 9.4654 9.1828 8.6774 90.00 103.41 90.00
Last column: nearest neighbours and their distance in Å.
Space group C2/m (No. 12)
Symmetry-distinct sites (fractional):
Pr1 0.1032 0.0000 0.3593 x4  7 Sm 3.21-3.42, 1 Pr 3.46
Sm1 0.0000 0.5000 0.5000 x2  8 Sm 3.61-4.02, 2 Pr 3.67
Sm2 0.1943 0.0000 0.0249 x4  1 Pr 3.21, 2 Sm 3.39, 4 Sc 3.40-3.42
Sm3 0.2087 0.1981 0.6997 x8  1 Sc 3.33, 4 Sm 3.39-3.64, 3 Pr 3.40-3.42
Sc1 0.0000 0.3167 0.0000 x4  6 Sm 3.33-3.42, 1 Sc 3.37

Values from the calculation:
**Volume**: 33.35 Å³ per atom
**Energy above the lowest structure with this stoichiometry**: 0.052 eV/atom
**Energy relative to the elements**: 206 kJ/mol of formula units



- Which formula does entry 5 have?
  Pr4Sm5Sc2